# 1
Dy2Cu3Ni4 | PBE-GGA | optimized geometry

CIF file:
```
data_Dy2Cu3Ni4
_cell_length_a 4.825
_cell_length_b 8.773
_cell_length_c 12.478
_cell_angle_alpha 90.00
_cell_angle_beta 90.00
_cell_angle_gamma 90.00
_symmetry_space_group_name_H-M 'F m m m'
_symmetry_Int_Tables_number 69
_symmetry_space_group_name_Hall '-F 2 2'
loop_
_atom_site_label
_atom_site_type_symbol
_atom_site_fract_x
_atom_site_fract_y
_atom_site_fract_z
Dy1 Dy 0.000 0.000 0.145
Cu1 Cu 0.000 0.000 0.500
Cu2 Cu 0.250 0.250 0.000
Ni1 Ni 0.000 0.175 0.331
```

## Properties
The calculation puts the density of states at the Fermi level at 19.53 states/eV per cell. The calculation puts the theoretical density at 9.4 g cm⁻³. For the energy relative to the elements, the calculation gives -0.28 eV/atom. For the calculated total energy, the calculation gives -0.19237 Ha/atom.


# 2
Na2BeGaTe4 | PBE-GGA | optimized geometry

CIF file:
```
data_Na2BeGaTe4
_cell_length_a 7.318
_cell_length_b 7.318
_cell_length_c 9.193
_cell_angle_alpha 90.00
_cell_angle_beta 90.00
_cell_angle_gamma 90.00
_symmetry_space_group_name_H-M 'I -4'
_symmetry_Int_Tables_number 82
loop_
_symmetry_equiv_pos_as_xyz
'x,y,z'
'y,-x,-z'
'-x,-y,z'
'-y,x,-z'
'x+1/2,y+1/2,z+1/2'
'y+1/2,-x+1/2,-z+1/2'
'-x+1/2,-y+1/2,z+1/2'
'-y+1/2,x+1/2,-z+1/2'
loop_
_atom_site_label
_atom_site_type_symbol
_atom_site_fract_x
_atom_site_fract_y
_atom_site_fract_z
Na1 Na 0.000 0.000 0.000
Na2 Na 0.000 0.500 0.250
Be1 Be 0.000 0.500 0.750
Ga1 Ga 0.000 0.000 0.500
Te1 Te 0.182 0.738 0.635
```

## Properties
The calculation puts the density of states at the Fermi level at 12.39 states/eV per cell. The calculation puts the theoretical density at 4.3 g cm⁻³. Its formation energy without anion corrections is -0.462 eV per atom. For the calculated total energy, the calculation gives -0.11785 Ha/atom.


# 3
PmDySi2Pt5 | PBE-GGA | optimized geometry

CIF file:
```
data_PmDySi2Pt5
_cell_length_a 4.228
_cell_length_b 4.228
_cell_length_c 8.981
_cell_angle_alpha 90.00
_cell_angle_beta 90.00
_cell_angle_gamma 90.00
_symmetry_space_group_name_H-M 'P 4/m m m'
_symmetry_Int_Tables_number 123
_symmetry_space_group_name_Hall '-P 4 2'
loop_
_atom_site_label
_atom_site_type_symbol
_atom_site_fract_x
_atom_site_fract_y
_atom_site_fract_z
Pm1 Pm 0.000 0.000 0.000
Dy1 Dy 0.000 0.000 0.500
Si1 Si 0.500 0.500 0.369
Pt1 Pt 0.000 0.500 0.240
Pt2 Pt 0.500 0.500 0.000
```

## Properties
The calculation puts the density of states at the Fermi level at 3.59 states/eV per cell. The calculation puts the theoretical density at 13.9 g cm⁻³. Its formation energy without anion corrections is -1.060 eV per atom. For the calculated total energy, the calculation gives -0.24478 Ha/atom.


# 4
BiSbPd | PBE-GGA | optimized geometry

CIF file:
```
data_BiSbPd
_cell_length_a 5.441
_cell_length_b 4.200
_cell_length_c 6.805
_cell_angle_alpha 90.00
_cell_angle_beta 93.41
_cell_angle_gamma 90.00
_symmetry_space_group_name_H-M 'P 1 2/m 1'
_symmetry_Int_Tables_number 10
loop_
_symmetry_equiv_pos_as_xyz
'x,y,z'
'-x,-y,-z'
'-x,y,-z'
'x,-y,z'
loop_
_atom_site_label
_atom_site_type_symbol
_atom_site_fract_x
_atom_site_fract_y
_atom_site_fract_z
Bi1 Bi 0.225 0.000 0.147
Sb1 Sb 0.290 0.500 0.630
Pd1 Pd 0.000 0.000 0.500
Pd2 Pd 0.500 0.500 0.000
```

## Properties
The calculation puts the density of states at the Fermi level at 2.34 states/eV per cell. The calculation puts the theoretical density at 9.4 g cm⁻³. Its formation energy without anion corrections is -0.269 eV per atom. For the calculated total energy, the calculation gives -0.17153 Ha/atom. Its relative energy among the computed polymorphs is 0.015 eV/atom.


# 5
Ac2BPt4Au | PBE-GGA | optimized geometry

CIF file:
```
data_Ac2BPt4Au
_cell_length_a 6.670
_cell_length_b 9.205
_cell_length_c 22.450
_cell_angle_alpha 90.00
_cell_angle_beta 90.00
_cell_angle_gamma 90.00
_symmetry_space_group_name_H-M 'F d d d'
_symmetry_Int_Tables_number 70
loop_
_symmetry_equiv_pos_as_xyz
'x,y,z'
'-x,-y,-z'
'-x+1/4,-y+1/4,z'
'x+1/4,y+1/4,-z'
'x,-y+1/4,-z+1/4'
'-x,y+1/4,z+1/4'
'-x+1/4,y,-z+1/4'
'x+1/4,-y,z+1/4'
'x,y+1/2,z+1/2'
'-x,-y+1/2,-z+1/2'
'-x+1/4,-y+3/4,z+1/2'
'x+1/4,y+3/4,-z+1/2'
'x,-y+3/4,-z+3/4'
'-x,y+3/4,z+3/4'
'-x+1/4,y+1/2,-z+3/4'
'x+1/4,-y+1/2,z+3/4'
'x+1/2,y,z+1/2'
'-x+1/2,-y,-z+1/2'
'-x+3/4,-y+1/4,z+1/2'
'x+3/4,y+1/4,-z+1/2'
'x+1/2,-y+1/4,-z+3/4'
'-x+1/2,y+1/4,z+3/4'
'-x+3/4,y,-z+3/4'
'x+3/4,-y,z+3/4'
'x+1/2,y+1/2,z'
'-x+1/2,-y+1/2,-z'
'-x+3/4,-y+3/4,z'
'x+3/4,y+3/4,-z'
'x+1/2,-y+3/4,-z+1/4'
'-x+1/2,y+3/4,z+1/4'
'-x+3/4,y+1/2,-z+1/4'
'x+3/4,-y+1/2,z+1/4'
loop_
_atom_site_label
_atom_site_type_symbol
_atom_site_fract_x
_atom_site_fract_y
_atom_site_fract_z
Ac1 Ac 0.125 0.125 0.312
B1 B 0.125 0.125 0.625
Pt1 Pt 0.043 0.269 0.808
Au1 Au 0.125 0.125 0.125
```

## Properties
The calculation puts the density of states at the Fermi level at 31.17 states/eV per cell. The calculation puts the theoretical density at 13.9 g cm⁻³. For the energy relative to the elements, the calculation gives -0.74 eV/atom. For the calculated total energy, the calculation gives -0.22154 Ha/atom.


# 6
Ac2Al5Pt4 | PBE-GGA | optimized geometry

CIF file:
```
data_Ac2Al5Pt4
_cell_length_a 5.716
_cell_length_b 10.117
_cell_length_c 15.619
_cell_angle_alpha 90.00
_cell_angle_beta 90.00
_cell_angle_gamma 90.00
_symmetry_space_group_name_H-M 'F m m m'
_symmetry_Int_Tables_number 69
_symmetry_space_group_name_Hall '-F 2 2'
loop_
_atom_site_label
_atom_site_type_symbol
_atom_site_fract_x
_atom_site_fract_y
_atom_site_fract_z
Ac1 Ac 0.000 0.000 0.139
Al1 Al 0.000 0.000 0.500
Al2 Al 0.250 0.250 0.000
Al3 Al 0.250 0.250 0.250
Pt1 Pt 0.000 0.154 0.368
```

## Properties
The calculation puts the density of states at the Fermi level at 19.28 states/eV per cell. The calculation puts the theoretical density at 10.1 g cm⁻³. For the energy relative to the elements, the calculation gives -0.98 eV/atom. For the calculated total energy, the calculation gives -0.20676 Ha/atom.


# 7
CsCoN2 | PBE-GGA | optimized geometry

CIF file:
```
data_CsCoN2
_cell_length_a 5.826
_cell_length_b 5.826
_cell_length_c 8.210
_cell_angle_alpha 90.00
_cell_angle_beta 90.00
_cell_angle_gamma 90.00
_symmetry_space_group_name_H-M 'I 41/a m d'
_symmetry_Int_Tables_number 141
loop_
_symmetry_equiv_pos_as_xyz
'x,y,z'
'-x,-y,-z'
'-y+1/4,x+3/4,z+1/4'
'y+1/4,-x+3/4,-z+1/4'
'-x+1/2,-y,z+1/2'
'x+1/2,y,-z+1/2'
'y+1/4,-x+1/4,z+3/4'
'-y+1/4,x+1/4,-z+3/4'
'x,-y,-z'
'-x,y,z'
'-y+1/4,-x+1/4,-z+3/4'
'y+1/4,x+1/4,z+3/4'
'-x+1/2,y,-z+1/2'
'x+1/2,-y,z+1/2'
'y+1/4,x+3/4,-z+1/4'
'-y+1/4,-x+3/4,z+1/4'
'x+1/2,y+1/2,z+1/2'
'-x+1/2,-y+1/2,-z+1/2'
'-y+3/4,x+1/4,z+3/4'
'y+3/4,-x+1/4,-z+3/4'
'-x,-y+1/2,z'
'x,y+1/2,-z'
'y+3/4,-x+3/4,z+1/4'
'-y+3/4,x+3/4,-z+1/4'
'x+1/2,-y+1/2,-z+1/2'
'-x+1/2,y+1/2,z+1/2'
'-y+3/4,-x+3/4,-z+1/4'
'y+3/4,x+3/4,z+1/4'
'-x,y+1/2,-z'
'x,-y+1/2,z'
'y+3/4,x+1/4,-z+3/4'
'-y+3/4,-x+1/4,z+3/4'
loop_
_atom_site_label
_atom_site_type_symbol
_atom_site_fract_x
_atom_site_fract_y
_atom_site_fract_z
Cs1 Cs 0.000 0.250 0.375
Co1 Co 0.000 0.250 0.875
N1 N 0.000 0.000 0.000
```

## Properties
The calculation puts the density of states at the Fermi level at 7.70 states/eV per cell. The calculation puts the theoretical density at 5.2 g cm⁻³. Its formation energy without anion corrections is 0.327 eV per atom. For the calculated total energy, the calculation gives -0.21409 Ha/atom.


# 8
In8GaBi6 | PBE-GGA | optimized geometry

CIF file:
```
data_In8GaBi6
_cell_length_a 8.8529
_cell_length_b 8.8529
_cell_length_c 21.6726
_cell_angle_alpha 90.00
_cell_angle_beta 90.00
_cell_angle_gamma 120.00
_symmetry_space_group_name_H-M 'R -3'
_symmetry_Int_Tables_number 148
_symmetry_space_group_name_Hall '-R 3'
loop_
_atom_site_label
_atom_site_type_symbol
_atom_site_fract_x
_atom_site_fract_y
_atom_site_fract_z
In1 In 0.0000 0.0000 0.1678
In2 In 0.0044 0.3448 0.3806
Ga1 Ga 0.0000 0.0000 0.5000
Bi1 Bi 0.0039 0.3234 0.5674
```

## Properties
The calculation puts the density of states at the Fermi level at 13.07 states/eV per cell. The calculation puts the theoretical density at 7.6 g cm⁻³. For the energy relative to the elements, the calculation gives 0.05 eV/atom. For the calculated total energy, the calculation gives -0.11618 Ha/atom.